Entry 1:
# PBE La12PmIn4N3, relaxed
# ΔE_f (raw) ... -0.56 eV per atom
# Magnetic moment ... 0.0 μB per cell
data_La12PmIn4N3
_chemical_formula_sum 'La24 Pm2 In8 N6'
_space_group_name_H-M_alt 'I m -3 m'
_space_group_IT_number 229
_space_group_name_Hall '-I 4 2 3'
_cell_length_a 10.448
_cell_length_b 10.448
_cell_length_c 10.448
_cell_angle_alpha 90.00
_cell_angle_beta 90.00
_cell_angle_gamma 90.00
loop_
_atom_site_label
_atom_site_type_symbol
_atom_site_fract_x
_atom_site_fract_y
_atom_site_fract_z
La1 La 0.000 0.000 0.275
La2 La 0.000 0.250 0.500
Pm1 Pm 0.000 0.000 0.000
In1 In 0.250 0.250 0.250
N1 N 0.000 0.000 0.500

---

Entry 2:
# PBE LaPr2InN, relaxed
# ΔE_f (raw) ... -0.84 eV per atom
# Magnetic moment ... 0.0 μB per cell
data_LaPr2InN
_chemical_formula_sum 'La1 Pr2 In1 N1'
_space_group_name_H-M_alt 'P 4/m m m'
_space_group_IT_number 123
_space_group_name_Hall '-P 4 2'
_cell_length_a 5.117
_cell_length_b 5.117
_cell_length_c 5.083
_cell_angle_alpha 90.00
_cell_angle_beta 90.00
_cell_angle_gamma 90.00
loop_
_atom_site_label
_atom_site_type_symbol
_atom_site_fract_x
_atom_site_fract_y
_atom_site_fract_z
La1 La 0.000 0.000 0.000
Pr1 Pr 0.000 0.500 0.500
In1 In 0.500 0.500 0.000
N1 N 0.000 0.000 0.500

---

Entry 3:
# PBE La12PrIn4N3, relaxed
# ΔE_f (raw) ... -0.56 eV per atom
# Magnetic moment ... 0.0 μB per cell
data_La12PrIn4N3
_chemical_formula_sum 'La24 Pr2 In8 N6'
_space_group_name_H-M_alt 'I m -3 m'
_space_group_IT_number 229
_space_group_name_Hall '-I 4 2 3'
_cell_length_a 10.476
_cell_length_b 10.476
_cell_length_c 10.476
_cell_angle_alpha 90.00
_cell_angle_beta 90.00
_cell_angle_gamma 90.00
loop_
_atom_site_label
_atom_site_type_symbol
_atom_site_fract_x
_atom_site_fract_y
_atom_site_fract_z
La1 La 0.000 0.000 0.276
La2 La 0.000 0.250 0.500
Pr1 Pr 0.000 0.000 0.000
In1 In 0.250 0.250 0.250
N1 N 0.000 0.000 0.500

---

Entry 4:
# PBE LaPr12In4N3, relaxed
# ΔE_f (raw) ... -0.46 eV per atom
# Magnetic moment ... 0.0 μB per cell
data_LaPr12In4N3
_chemical_formula_sum 'La2 Pr24 In8 N6'
_space_group_name_H-M_alt 'I m -3 m'
_space_group_IT_number 229
_space_group_name_Hall '-I 4 2 3'
_cell_length_a 10.389
_cell_length_b 10.389
_cell_length_c 10.389
_cell_angle_alpha 90.00
_cell_angle_beta 90.00
_cell_angle_gamma 90.00
loop_
_atom_site_label
_atom_site_type_symbol
_atom_site_fract_x
_atom_site_fract_y
_atom_site_fract_z
La1 La 0.000 0.000 0.000
Pr1 Pr 0.000 0.000 0.275
Pr2 Pr 0.000 0.250 0.500
In1 In 0.250 0.250 0.250
N1 N 0.000 0.000 0.500

---

Entry 5:
# PBE La2InReN, relaxed
# ΔE_f (raw) ... -0.56 eV per atom
# Magnetic moment ... 0.0 μB per cell
data_La2InReN
_chemical_formula_sum 'La2 In1 Re1 N1'
_space_group_name_H-M_alt 'P 4/m m m'
_space_group_IT_number 123
_space_group_name_Hall '-P 4 2'
_cell_length_a 5.377
_cell_length_b 5.377
_cell_length_c 3.935
_cell_angle_alpha 90.00
_cell_angle_beta 90.00
_cell_angle_gamma 90.00
loop_
_atom_site_label
_atom_site_type_symbol
_atom_site_fract_x
_atom_site_fract_y
_atom_site_fract_z
La1 La 0.000 0.500 0.000
In1 In 0.000 0.000 0.500
Re1 Re 0.500 0.500 0.500
N1 N 0.500 0.500 0.000

---

Entry 6:
# PBE La2InRhN, relaxed
# ΔE_f (raw) ... 0.30 eV per atom
# E above lowest polymorph ... 967 meV/atom
# Magnetic moment ... 0.0 μB per cell
data_La2InRhN
_chemical_formula_sum 'La2 In1 Rh1 N1'
_space_group_name_H-M_alt 'P 4/m m m'
_space_group_IT_number 123
_space_group_name_Hall '-P 4 2'
_cell_length_a 5.405
_cell_length_b 5.405
_cell_length_c 4.978
_cell_angle_alpha 90.00
_cell_angle_beta 90.00
_cell_angle_gamma 90.00
loop_
_atom_site_label
_atom_site_type_symbol
_atom_site_fract_x
_atom_site_fract_y
_atom_site_fract_z
La1 La 0.000 0.500 0.000
In1 In 0.000 0.000 0.500
Rh1 Rh 0.000 0.000 0.000
N1 N 0.500 0.500 0.500

---

Entry 7:
# PBE La2InRhN, relaxed
# ΔE_f (raw) ... -0.67 eV per atom
# E above lowest polymorph ... 0 meV/atom
# Magnetic moment ... 0.0 μB per cell
data_La2InRhN
_chemical_formula_sum 'La2 In1 Rh1 N1'
_space_group_name_H-M_alt 'P 4/m m m'
_space_group_IT_number 123
_space_group_name_Hall '-P 4 2'
_cell_length_a 5.285
_cell_length_b 5.285
_cell_length_c 4.039
_cell_angle_alpha 90.00
_cell_angle_beta 90.00
_cell_angle_gamma 90.00
loop_
_atom_site_label
_atom_site_type_symbol
_atom_site_fract_x
_atom_site_fract_y
_atom_site_fract_z
La1 La 0.000 0.500 0.000
In1 In 0.000 0.000 0.500
Rh1 Rh 0.500 0.500 0.500
N1 N 0.500 0.500 0.000

---

Entry 8:
# PBE LaInSN2, relaxed
# ΔE_f (raw) ... 0.52 eV per atom
# E above lowest polymorph ... 386 meV/atom
# Magnetic moment ... 0.1 μB per cell
data_LaInSN2
_chemical_formula_sum 'La1 In1 S1 N2'
_space_group_name_H-M_alt 'P 4/m m m'
_space_group_IT_number 123
_space_group_name_Hall '-P 4 2'
_cell_length_a 4.248
_cell_length_b 4.248
_cell_length_c 6.102
_cell_angle_alpha 90.00
_cell_angle_beta 90.00
_cell_angle_gamma 90.00
loop_
_atom_site_label
_atom_site_type_symbol
_atom_site_fract_x
_atom_site_fract_y
_atom_site_fract_z
La1 La 0.000 0.000 0.000
In1 In 0.500 0.500 0.500
S1 S 0.000 0.000 0.500
N1 N 0.000 0.500 0.000